Entry 1:
# RbTl3Ir

A relaxed structure of RbTl3Ir (PBE-GGA, the Alexandria database).

E_tot   -1.6037 eV per atom
DFT formation energy   1.78 eV/atom

Cell and atoms, written as CIF:
```
data_RbTl3Ir
_space_group_name_H-M_alt 'P m -3 m'
_space_group_IT_number 221
_space_group_name_Hall '-P 4 2 3'
_cell_length_a 6.0407
_cell_length_b 6.0407
_cell_length_c 6.0407
_cell_angle_alpha 90.00
_cell_angle_beta 90.00
_cell_angle_gamma 90.00
loop_
_atom_site_label
_atom_site_type_symbol
_atom_site_fract_x
_atom_site_fract_y
_atom_site_fract_z
Rb1 Rb 0.0000 0.0000 0.0000
Tl1 Tl 0.0000 0.0000 0.5000
Ir1 Ir 0.5000 0.5000 0.5000
```

Entry 2:
# PaMnCo4

A relaxed structure of PaMnCo4 (PBE-GGA, the Alexandria database).

E_tot   -7.5144 eV per atom
DFT formation energy   0.33 eV/atom

Cell and atoms, written as CIF:
```
data_PaMnCo4
_space_group_name_H-M_alt 'I 41/a m d'
_space_group_IT_number 141
_cell_length_a 4.7375
_cell_length_b 4.7375
_cell_length_c 16.7161
_cell_angle_alpha 90.00
_cell_angle_beta 90.00
_cell_angle_gamma 90.00
loop_
_space_group_symop_operation_xyz
'x,y,z'
'-x,-y,-z'
'-y+1/4,x+3/4,z+1/4'
'y+1/4,-x+3/4,-z+1/4'
'-x+1/2,-y,z+1/2'
'x+1/2,y,-z+1/2'
'y+1/4,-x+1/4,z+3/4'
'-y+1/4,x+1/4,-z+3/4'
'x,-y,-z'
'-x,y,z'
'-y+1/4,-x+1/4,-z+3/4'
'y+1/4,x+1/4,z+3/4'
'-x+1/2,y,-z+1/2'
'x+1/2,-y,z+1/2'
'y+1/4,x+3/4,-z+1/4'
'-y+1/4,-x+3/4,z+1/4'
'x+1/2,y+1/2,z+1/2'
'-x+1/2,-y+1/2,-z+1/2'
'-y+3/4,x+1/4,z+3/4'
'y+3/4,-x+1/4,-z+3/4'
'-x,-y+1/2,z'
'x,y+1/2,-z'
'y+3/4,-x+3/4,z+1/4'
'-y+3/4,x+3/4,-z+1/4'
'x+1/2,-y+1/2,-z+1/2'
'-x+1/2,y+1/2,z+1/2'
'-y+3/4,-x+3/4,-z+1/4'
'y+3/4,x+3/4,z+1/4'
'-x,y+1/2,-z'
'x,-y+1/2,z'
'y+3/4,x+1/4,-z+3/4'
'-y+3/4,-x+1/4,z+3/4'
loop_
_atom_site_label
_atom_site_type_symbol
_atom_site_fract_x
_atom_site_fract_y
_atom_site_fract_z
Pa1 Pa 0.0000 0.2500 0.3750
Mn1 Mn 0.0000 0.2500 0.8750
Co1 Co 0.0000 0.0074 0.7473
```

Entry 3:
# In2SeBr

A relaxed structure of In2SeBr (PBE-GGA, the Alexandria database).

E_tot   -2.9714 eV per atom
Formation energy without anion corrections   -0.313 eV/atom

Cell and atoms, written as CIF:
```
data_In2SeBr
_space_group_name_H-M_alt 'P m m m'
_space_group_IT_number 47
_space_group_name_Hall '-P 2 2'
_cell_length_a 3.9825
_cell_length_b 4.5847
_cell_length_c 6.4563
_cell_angle_alpha 90.00
_cell_angle_beta 90.00
_cell_angle_gamma 90.00
loop_
_atom_site_label
_atom_site_type_symbol
_atom_site_fract_x
_atom_site_fract_y
_atom_site_fract_z
In1 In 0.0000 0.0000 0.0000
In2 In 0.0000 0.5000 0.5000
Se1 Se 0.5000 0.0000 0.5000
Br1 Br 0.5000 0.5000 0.0000
```

Entry 4:
# Ba4In3Pt2

A relaxed structure of Ba4In3Pt2 (PBE-GGA, the Alexandria database).

E_tot   -3.6498 eV per atom
DFT formation energy   -0.54 eV/atom

Cell and atoms, written as CIF:
```
data_Ba4In3Pt2
_space_group_name_H-M_alt 'C 1 2/m 1'
_space_group_IT_number 12
_space_group_name_Hall '-C 2y'
_cell_length_a 18.1509
_cell_length_b 4.4193
_cell_length_c 8.2774
_cell_angle_alpha 90.00
_cell_angle_beta 110.91
_cell_angle_gamma 90.00
loop_
_atom_site_label
_atom_site_type_symbol
_atom_site_fract_x
_atom_site_fract_y
_atom_site_fract_z
Ba1 Ba 0.0739 0.0000 0.3701
Ba2 Ba 0.2265 0.5000 0.1824
In1 In 0.0000 0.5000 0.0000
In2 In 0.0989 0.5000 0.7409
Pt1 Pt 0.0948 0.0000 0.9522
```

Entry 5:
# LiTaCuRh

A relaxed structure of LiTaCuRh (PBE-GGA, the Alexandria database).

E_tot   -6.4268 eV per atom
DFT formation energy   -0.12 eV/atom

Cell and atoms, written as CIF:
```
data_LiTaCuRh
_space_group_name_H-M_alt 'F -4 3 m'
_space_group_IT_number 216
_space_group_name_Hall 'F -4 2 3'
_cell_length_a 6.1259
_cell_length_b 6.1259
_cell_length_c 6.1259
_cell_angle_alpha 90.00
_cell_angle_beta 90.00
_cell_angle_gamma 90.00
loop_
_atom_site_label
_atom_site_type_symbol
_atom_site_fract_x
_atom_site_fract_y
_atom_site_fract_z
Li1 Li 0.0000 0.0000 0.0000
Ta1 Ta 0.0000 0.0000 0.5000
Cu1 Cu 0.2500 0.2500 0.7500
Rh1 Rh 0.2500 0.2500 0.2500
```

Entry 6:
# Y2InW

A relaxed structure of Y2InW (PBE-GGA, the Alexandria database).

E_tot   -6.7524 eV per atom
DFT formation energy   0.40 eV/atom

Cell and atoms, written as CIF:
```
data_Y2InW
_space_group_name_H-M_alt 'C 1 2/m 1'
_space_group_IT_number 12
_space_group_name_Hall '-C 2y'
_cell_length_a 9.9798
_cell_length_b 3.1492
_cell_length_c 6.2299
_cell_angle_alpha 90.00
_cell_angle_beta 97.67
_cell_angle_gamma 90.00
loop_
_atom_site_label
_atom_site_type_symbol
_atom_site_fract_x
_atom_site_fract_y
_atom_site_fract_z
Y1 Y 0.2464 0.0000 0.2380
In1 In 0.0000 0.0000 0.5000
W1 W 0.0000 0.5000 0.0000
```